Arrangement i

This record from Alexandria via LeMat-Bulk describes an optimized crystal structure of Dy2PaGe. The functional is PBE.

It has space group P4/mmm (No. 123), with a = 4.6668 Å, b = 4.6668 Å, c = 4.4711 Å, α = 90.00°, β = 90.00° and γ = 90.00°. The asymmetric unit holds Dy at (0.0000, 0.5000, 0.0000), Pa at (0.0000, 0.0000, 0.5000) and Ge at (0.5000, 0.5000, 0.5000).

Arrangement ii

This record from Alexandria via LeMat-Bulk describes an optimized crystal structure of Dy2PaGe. The functional is PBE.

It has space group R-3m (No. 166, hexagonal axes), with a = 3.3693 Å, b = 3.3693 Å, c = 33.9590 Å, α = 90.00°, β = 90.00° and γ = 120.00°. The asymmetric unit holds Dy at (0.0000, 0.0000, 0.0855), Pa at (0.0000, 0.0000, 0.5000) and Ge at (0.0000, 0.0000, 0.0000).

Comparing the structures above, arrangement i comes out on top by 0.363 eV/atom.